Below is a geometry-optimized Sr2ZnSb structure, with properties calculated at the PBE level.

Structure (extended XYZ):
```
4
Lattice="4.7595 0.0000 0.0000 0.0000 4.7663 0.0000 0.0000 0.0000 6.6122" Properties=species:S:1:pos:R:3 pbc="T T T"
Sb 2.3798 2.3831 5.7909
Sr 0.0000 0.0000 5.7816
Sr 2.3798 2.3831 2.4841
Zn 0.0000 0.0000 2.4738
```

Values from the calculation:
* polymorph energy (0 for the lowest one): 243 meV per atom
* uncorrected energy: -2.61 eV/atom
* energy relative to the elements, uncorrected: -0.42 eV per atom